a) The following is a PBE-GGA calculation of an optimized crystal structure of HfPd8Au2, from Alexandria.

Its crystal system is monoclinic.

The structure belongs to space group C2/m (No. 12); the cell edges are 10.219, 8.867 and 4.823 Å and the angles 90.00°, 105.86° and 90.00°. The distinct sites, in fractional coordinates, are Hf at (0.000, 0.000, 0.000), Pd at (0.072, 0.500, 0.291), Pd at (0.080, 0.247, 0.798), Pd at (0.226, 0.500, 0.886) and Au at (0.156, 0.000, 0.545).

---

b) The following is a PBE-GGA calculation of an optimized crystal structure of HfPd8Au2, from Alexandria.

Its crystal system is orthorhombic.

The structure belongs to space group Cmmm (No. 65); the cell edges are 8.171, 10.833 and 4.307 Å and the angles 90.00°, 90.00° and 90.00°. The distinct sites, in fractional coordinates, are Hf at (0.000, 0.000, 0.000), Pd at (0.000, 0.239, 0.000), Pd at (0.167, 0.131, 0.500), Pd at (0.173, 0.500, 0.000) and Au at (0.000, 0.376, 0.500).

---

Result of the stability comparison: a) is the least stable of them.